ReCl | GGA-PBE | optimized geometry

Values from the calculation:
energy relative to the lowest polymorph listed for this composition	96	meV/atom
calculated total energy	-57.3	eV for the cell shown
uncorrected formation energy	-0.34	kcal/mol of atoms
total moment	0.0	μB per cell

Cell lengths 6.128, 3.344, 8.910 Å; angles 90.00, 95.82, 90.00 degrees
Space group C2/m (No. 12)
Inequivalent atoms, fractional coordinates:
Re 0.172 0.000 0.420 [4 per cell]
Cl 0.110 0.500 0.795 [4 per cell]